1.
Material: Li2Zn2Sb
Method: DFT, PBE
State: optimized geometry

The calculation puts the energy above the lowest structure with this stoichiometry at 0.000 eV/atom.

It has space group P4/mbm (No. 127), with a = 7.239 Å, b = 7.239 Å, c = 3.514 Å, α = 90.00°, β = 90.00° and γ = 90.00°. The distinct sites, in fractional coordinates, are Li at (0.170, 0.330, 0.000), Zn at (0.122, 0.622, 0.500) and Sb at (0.000, 0.000, 0.500).

2.
Material: LiZn3Sb3
Method: DFT, PBE
State: optimized geometry

It has space group P6_3/m (No. 176), with a = 11.7749 Å, b = 11.7749 Å, c = 3.4320 Å, α = 90.00°, β = 90.00° and γ = 120.00°. The distinct sites, in fractional coordinates, are Li at (0.3333, 0.6667, 0.2500), Zn at (0.0995, 0.4396, 0.7500) and Sb at (0.1133, 0.6789, 0.7500).

3.
Material: LiZn2Sb2
Method: DFT, PBE
State: optimized geometry

The calculation puts the energy above the lowest structure with this stoichiometry at 0.145 eV/atom.

It has space group I4/mmm (No. 139), with a = 4.670 Å, b = 4.670 Å, c = 11.376 Å, α = 90.00°, β = 90.00° and γ = 90.00°. The distinct sites, in fractional coordinates, are Li at (0.000, 0.000, 0.000), Zn at (0.000, 0.000, 0.395) and Sb at (0.000, 0.500, 0.250).

4.
Material: LiZn4Sb
Method: DFT, PBE
State: optimized geometry

It has space group F-43m (No. 216), with a = 7.544 Å, b = 7.544 Å, c = 7.544 Å, α = 90.00°, β = 90.00° and γ = 90.00°. The distinct sites, in fractional coordinates, are Li at (0.000, 0.000, 0.000), Zn at (0.126, 0.126, 0.374) and Sb at (0.250, 0.250, 0.750).

| no. | formation energy from raw total energies (kJ/mol of atoms) | density of states at the Fermi level (states/eV/f.u.) |
| --- | --- | --- |
| 1 | -16.4 | 1.187 |
| 2 | -5.5 | 1.179 |
| 3 | 0.4 | 2.485 |
| 4 | -2.3 | 1.487 |